HfInPb2: optimized geometry, PBE-GGA.

CIF file:
```
data_HfInPb2
_chemical_formula_sum 'Hf4 In4 Pb8'
_symmetry_space_group_name_H-M 'I -4 2 d'
_symmetry_Int_Tables_number 122
_symmetry_space_group_name_Hall 'I -4 2bw'
_cell_length_a 8.5006
_cell_length_b 8.5006
_cell_length_c 6.2445
_cell_angle_alpha 90.00
_cell_angle_beta 90.00
_cell_angle_gamma 90.00
loop_
_atom_site_label
_atom_site_type_symbol
_atom_site_fract_x
_atom_site_fract_y
_atom_site_fract_z
Hf1 Hf 0.0000 0.0000 0.0000
In1 In 0.0000 0.0000 0.5000
Pb1 Pb 0.2324 0.2500 0.1250
```

---

Hf5In2Pb: optimized geometry, PBE-GGA.

CIF file:
```
data_Hf5In2Pb
_chemical_formula_sum 'Hf20 In8 Pb4'
_symmetry_space_group_name_H-M 'I 4/m c m'
_symmetry_Int_Tables_number 140
_symmetry_space_group_name_Hall '-I 4 2c'
_cell_length_a 7.5602
_cell_length_b 7.5602
_cell_length_c 12.6028
_cell_angle_alpha 90.00
_cell_angle_beta 90.00
_cell_angle_gamma 90.00
loop_
_atom_site_label
_atom_site_type_symbol
_atom_site_fract_x
_atom_site_fract_y
_atom_site_fract_z
Hf1 Hf 0.0000 0.0000 0.0000
Hf2 Hf 0.1516 0.3484 0.1595
In1 In 0.1438 0.3562 0.5000
Pb1 Pb 0.0000 0.0000 0.2500
```

---

M_tot per entry: 0.00 0.00 μB per formula unit
Energy relative to the elements per entry: 0.36 -0.04 eV/atom
D(E_F) per entry: 0.711 1.140 states/eV per atom